The following is a PBE-GGA calculation of a geometry-optimized Ba4Re structure, from the Alexandria database.

The space group is Pm-3m (No. 221) and the conventional cell measures 6.222, 6.222 and 6.222 Å, with angles of 90.00, 90.00 and 90.00 degrees. The inequivalent atoms are Ba at (0.000, 0.000, 0.000), Ba at (0.000, 0.500, 0.500) and Re at (0.500, 0.500, 0.500).

For the energy above the most stable polymorph in this dataset, the calculation gives 0.027 eV per atom. For the formation energy, the calculation gives 0.658 eV/atom. The total energy comes out at -16.8 eV/cell.